Density functional theory data (PBE-GGA) for a relaxed structure of SrCuAs.

Results
Space-group type: Fmm2, No. 42
ΔH_f (0 K): -22 kJ per mole of atoms
D(E_F): 1.34 states/eV/f.u.
Energy: -11.10 eV per cell

Cell: 6.1651 5.7482 3.8986 Å, 76.80 65.20 38.00°
With the nearest neighbours (Å) after each atom.
Positions (direct):
1 Sr 0.6617 0.6617 0.3383  3 Cu 2.98-3.23, 3 As 3.12-3.14
2 Cu 0.3798 0.3798 0.6202  2 As 2.41
3 As 0.9585 0.9585 0.0415  2 Cu 2.41